A geometry-optimized GaRe2Te structure. Source: Alexandria via LeMat-Bulk, functional PBE.

Unit cell a=4.500 b=4.500 c=4.500 alpha=60.00 beta=60.00 gamma=60.00
Element x y z (fractional)
Ga: 0.000 0.000 0.000
Re: 0.250 0.250 0.250
Re: 0.750 0.750 0.750
Te: 0.500 0.500 0.500

Properties
Space group   Fm-3m
Formation energy from raw total energies   2.19 eV per formula unit
Excess energy over the best structure of this formula in the dataset   0 kJ/mol of formula units

A geometry-optimized NbHgSCl2 structure. Source: Alexandria via LeMat-Bulk, functional PBE.

Unit cell a=5.009 b=5.009 c=4.795 alpha=90.00 beta=90.00 gamma=90.00
Element x y z (fractional)
Nb: 0.000 0.000 0.000
Hg: 0.500 0.500 0.500
S: 0.000 0.000 0.500
Cl: 0.000 0.500 0.000
Cl: 0.500 0.000 0.000

Properties
Space group   P4/mmm
Formation energy from raw total energies   -2.94 eV per formula unit
Excess energy over the best structure of this formula in the dataset   0 kJ/mol of formula units

Please write out number 2 again, unchanged.
A geometry-optimized NbHgSCl2 structure. Source: Alexandria via LeMat-Bulk, functional PBE.

Unit cell a=5.009 b=5.009 c=4.795 alpha=90.00 beta=90.00 gamma=90.00
Element x y z (fractional)
Nb: 0.000 0.000 0.000
Hg: 0.500 0.500 0.500
S: 0.000 0.000 0.500
Cl: 0.000 0.500 0.000
Cl: 0.500 0.000 0.000

Properties
Space group   P4/mmm
Formation energy from raw total energies   -2.94 eV per formula unit
Excess energy over the best structure of this formula in the dataset   0 kJ/mol of formula units